The following is a DFT calculation (PBE+U) of a relaxed Rb2LaWO6 crystal.

Cell lengths 6.1973, 6.1973, 6.1984 Å; angles 60.01, 60.01, 60.00 degrees
Last column: nearest neighbours and their distance in Å.
Element x y z (fractional)
O 0.0929 0.0924 0.2750  1 W 1.96
O 0.5398 0.0929 0.2750  1 W 1.96
O 0.5397 0.0926 0.8280  1 W 1.96
O 0.0924 0.5398 0.2750  1 W 1.96
O 0.0926 0.5397 0.8280  1 W 1.96
O 0.5397 0.5397 0.8280  1 W 1.96
W 0.3162 0.3162 0.0515  6 O 1.96
Rb 0.5661 0.5661 0.3016  12 O 3.11
Rb 0.0661 0.0661 0.8016  12 O 3.11
La 0.8162 0.8162 0.5516  6 O 2.42

Computed properties:
As for the magnetization: 1.1 μB/cell. As for the energy: -66.05 eV for the cell shown. Its density of states at the Fermi level is 0.63 states/eV per atom. The calculation puts the volume at 168.4 Å³ per cell.